No. 1
VASP calculation (GGA-PBEsol) on a relaxed structure of Cs2Mo3P5O19.

Values from the calculation:
Its energy relative to the elements, uncorrected is -2109 meV per atom. As for the density of states at the Fermi level: 0.157 states/eV/atom.

Cell lengths 6.4670, 14.5363, 9.6800 Å; angles 90.00, 105.38, 90.00 degrees
Space group P2_1/m (No. 11)
Asymmetric unit:
Cs (0.0000, 0.0000, 0.0000) x2
Cs (0.0475, 0.2500, 0.3743) x2
Mo (0.2806, 0.6269, 0.3568) x4
Mo (0.3746, 0.2500, 0.0363) x2
P (0.1670, 0.7500, 0.0519) x2
P (0.2687, 0.1026, 0.7377) x4
P (0.4929, 0.5664, 0.7113) x4
O (0.0332, 0.0975, 0.6542) x4
O (0.0631, 0.2500, 0.0465) x2
O (0.2093, 0.6621, 0.1454) x4
O (0.2639, 0.7500, 0.3927) x2
O (0.3045, 0.1508, 0.8803) x4
O (0.3067, 0.7500, 0.9459) x2
O (0.3137, 0.0077, 0.2989) x4
O (0.3462, 0.5024, 0.7848) x4
O (0.3459, 0.5927, 0.5663) x4
O (0.3983, 0.1366, 0.6360) x4
O (0.4337, 0.1476, 0.1919) x4

No. 2
VASP calculation (GGA-PBEsol) on a relaxed structure of In2Sb.

Values from the calculation:
Its energy relative to the elements, uncorrected is 220 meV per atom. As for the density of states at the Fermi level: 0.684 states/eV/atom.

Cell lengths 8.6082, 8.6082, 8.6082 Å; angles 90.00, 90.00, 90.00 degrees
Space group Fd-3m (No. 227, origin choice 2)
Asymmetric unit:
In (0.0000, 0.0000, 0.0000) x16
Sb (0.1250, 0.1250, 0.6250) x8

No. 3
VASP calculation (GGA-PBEsol) on a relaxed structure of In2ReSb.

Values from the calculation:
Its energy relative to the elements, uncorrected is 680 meV per atom. As for the density of states at the Fermi level: 0.691 states/eV/atom.

Cell lengths 6.2443, 8.6912, 2.9677 Å; angles 90.00, 90.00, 90.00 degrees
Space group Cmmm (No. 65)
Asymmetric unit:
In (0.2500, 0.2500, 0.0000) x4
Re (0.0000, 0.0000, 0.5000) x2
Sb (0.0000, 0.5000, 0.5000) x2

No. 4
VASP calculation (GGA-PBEsol) on a relaxed structure of Re3SiMo.

Values from the calculation:
Its energy relative to the elements, uncorrected is 1214 meV per atom. As for the density of states at the Fermi level: 0.387 states/eV/atom.

Cell lengths 4.3186, 4.3186, 4.3186 Å; angles 90.00, 90.00, 90.00 degrees
Space group Pm-3m (No. 221)
Asymmetric unit:
Re (0.0000, 0.0000, 0.5000) x3
Si (0.0000, 0.0000, 0.0000) x1
Mo (0.5000, 0.5000, 0.5000) x1

No. 5
VASP calculation (GGA-PBEsol) on a relaxed structure of BiPtSe2N.

Values from the calculation:
Its energy relative to the elements, uncorrected is 1612 meV per atom. As for the density of states at the Fermi level: 1.388 states/eV/atom.

Cell lengths 5.3591, 5.3591, 4.0634 Å; angles 90.00, 90.00, 90.00 degrees
Space group P4/mmm (No. 123)
Asymmetric unit:
Bi (0.0000, 0.0000, 0.0000) x1
Pt (0.5000, 0.5000, 0.5000) x1
Se (0.0000, 0.5000, 0.0000) x2
N (0.0000, 0.0000, 0.5000) x1

No. 6
VASP calculation (GGA-PBEsol) on a relaxed structure of Li5Mn2CoO8.

Values from the calculation:
Its energy relative to the elements, uncorrected is -1856 meV per atom. The excess energy over the best structure of this formula in the dataset is 0 meV/atom.

Cell lengths 4.8558, 5.6160, 4.9648 Å; angles 90.00, 109.06, 90.00 degrees
Space group P2 (No. 3)
Asymmetric unit:
Li (0.0000, 0.0000, 0.0000) x1
Li (0.0000, 0.2347, 0.5000) x1
Li (0.0000, 0.4730, 0.0000) x1
Li (0.5000, 0.2298, 0.0000) x1
Li (0.5000, 0.7398, 0.0000) x1
Mn (0.0000, 0.7428, 0.5000) x1
Mn (0.5000, 0.4750, 0.5000) x1
Co (0.5000, 0.9867, 0.5000) x1
O (0.2476, 0.9740, 0.7261) x2
O (0.2502, 0.5007, 0.7239) x2
O (0.2563, 0.7352, 0.2793) x2
O (0.2786, 0.2367, 0.2718) x2

No. 7
VASP calculation (GGA-PBEsol) on a relaxed structure of KLiHg2.

Values from the calculation:
The excess energy over the best structure of this formula in the dataset is 124 meV/atom. As for the density of states at the Fermi level: 0.538 states/eV/atom. The calculation puts the energy of formation at -0.147 eV per atom.

Cell lengths 7.5468, 7.5468, 7.5468 Å; angles 90.00, 90.00, 90.00 degrees
Space group Fm-3m (No. 225)
Asymmetric unit:
K (0.0000, 0.0000, 0.0000) x4
Li (0.0000, 0.0000, 0.5000) x4
Hg (0.2500, 0.2500, 0.2500) x8

No. 8
VASP calculation (GGA-PBEsol) on a relaxed structure of InPtRhS2.

Values from the calculation:
Its energy relative to the elements, uncorrected is 592 meV per atom. As for the density of states at the Fermi level: 1.277 states/eV/atom.

Cell lengths 4.5385, 4.5385, 4.9894 Å; angles 90.00, 90.00, 90.00 degrees
Space group P4/mmm (No. 123)
Asymmetric unit:
In (0.0000, 0.0000, 0.0000) x1
Pt (0.5000, 0.5000, 0.5000) x1
Rh (0.5000, 0.5000, 0.0000) x1
S (0.0000, 0.5000, 0.5000) x2

No. 9
VASP calculation (GGA-PBEsol) on a relaxed structure of CaAgOs3.

Values from the calculation:
As for the density of states at the Fermi level: 1.075 states/eV/atom. The calculation puts the energy of formation at 3.269 eV per atom.

Cell lengths 4.5781, 4.5781, 4.5781 Å; angles 90.00, 90.00, 90.00 degrees
Space group Pm-3m (No. 221)
Asymmetric unit:
Ca (0.0000, 0.0000, 0.0000) x1
Ag (0.5000, 0.5000, 0.5000) x1
Os (0.0000, 0.0000, 0.5000) x3

No. 10
VASP calculation (GGA-PBEsol) on a relaxed structure of CdSi.

Values from the calculation:
Its energy relative to the elements, uncorrected is 500 meV per atom. As for the density of states at the Fermi level: 0.377 states/eV/atom.

Cell lengths 3.3671, 3.3671, 3.3671 Å; angles 90.00, 90.00, 90.00 degrees
Space group Pm-3m (No. 221)
Asymmetric unit:
Cd (0.0000, 0.0000, 0.0000) x1
Si (0.5000, 0.5000, 0.5000) x1

No. 11
VASP calculation (GGA-PBEsol) on a relaxed structure of CaFe2Ni2.

Values from the calculation:
As for the density of states at the Fermi level: 0.934 states/eV/atom. The calculation puts the energy of formation at 0.149 eV per atom.

Cell lengths 3.9023, 3.9023, 9.7832 Å; angles 90.00, 90.00, 90.00 degrees
Space group I4/mmm (No. 139)
Asymmetric unit:
Ca (0.0000, 0.0000, 0.0000) x2
Fe (0.0000, 0.5000, 0.2500) x4
Ni (0.0000, 0.0000, 0.3804) x4

No. 12
VASP calculation (GGA-PBEsol) on a relaxed structure of SbRh2Br.

Values from the calculation:
Its energy relative to the elements, uncorrected is 221 meV per atom. The excess energy over the best structure of this formula in the dataset is 191 meV/atom. As for the density of states at the Fermi level: 0.872 states/eV/atom.

Cell lengths 4.6053, 4.6053, 3.1883 Å; angles 90.00, 90.00, 90.00 degrees
Space group P4/mmm (No. 123)
Asymmetric unit:
Sb (0.0000, 0.0000, 0.0000) x1
Rh (0.0000, 0.5000, 0.5000) x2
Br (0.5000, 0.5000, 0.0000) x1

No. 13
VASP calculation (GGA-PBEsol) on a relaxed structure of NaTi2Cl.

Values from the calculation:
Its energy relative to the elements, uncorrected is 401 meV per atom. As for the density of states at the Fermi level: 0.757 states/eV/atom.

Cell lengths 4.3118, 4.3118, 18.4867 Å; angles 90.00, 90.00, 90.00 degrees
Space group I4_1/amd (No. 141, origin choice 2)
Asymmetric unit:
Na (0.0000, 0.2500, 0.3750) x4
Ti (0.0000, 0.0000, 0.0000) x8
Cl (0.0000, 0.2500, 0.8750) x4

No. 14
VASP calculation (GGA-PBEsol) on a relaxed structure of RbSrO2F.

Values from the calculation:
Its energy relative to the elements, uncorrected is -1672 meV per atom. As for the density of states at the Fermi level: 1.454 states/eV/atom.

Cell lengths 4.6921, 4.6921, 4.7512 Å; angles 90.00, 90.00, 90.00 degrees
Space group P4/mmm (No. 123)
Asymmetric unit:
Rb (0.0000, 0.0000, 0.0000) x1
Sr (0.5000, 0.5000, 0.5000) x1
O (0.0000, 0.5000, 0.5000) x2
F (0.5000, 0.5000, 0.0000) x1

No. 15
VASP calculation (GGA-PBEsol) on a relaxed structure of KHS2Cl.

Values from the calculation:
As for the density of states at the Fermi level: 0.674 states/eV/atom. The value obtained for the total DFT energy (no corrections) is -3.169 eV/atom.

Cell lengths 3.8582, 3.8582, 6.6486 Å; angles 90.00, 90.00, 90.00 degrees
Space group P4/mmm (No. 123)
Asymmetric unit:
K (0.0000, 0.0000, 0.0000) x1
H (0.5000, 0.5000, 0.5000) x1
S (0.0000, 0.5000, 0.5000) x2
Cl (0.5000, 0.5000, 0.0000) x1

No. 16
VASP calculation (GGA-PBEsol) on a relaxed structure of MgInRe.

Values from the calculation:
As for the density of states at the Fermi level: 0.834 states/eV/atom. The calculation puts the energy of formation at 0.960 eV per atom.

Cell lengths 6.3836, 6.3836, 6.3836 Å; angles 90.00, 90.00, 90.00 degrees
Space group F-43m (No. 216)
Asymmetric unit:
Mg (0.0000, 0.0000, 0.0000) x4
In (0.0000, 0.0000, 0.5000) x4
Re (0.2500, 0.2500, 0.2500) x4

No. 17
VASP calculation (GGA-PBEsol) on a relaxed structure of AsHPb2.

Values from the calculation:
As for the density of states at the Fermi level: 0.433 states/eV/atom. The value obtained for the total DFT energy (no corrections) is -3.773 eV/atom.

Cell lengths 6.9954, 6.9954, 6.9954 Å; angles 90.00, 90.00, 90.00 degrees
Space group Fm-3m (No. 225)
Asymmetric unit:
As (0.0000, 0.0000, 0.0000) x4
H (0.0000, 0.0000, 0.5000) x4
Pb (0.2500, 0.2500, 0.2500) x8

No. 18
VASP calculation (GGA-PBEsol) on a relaxed structure of Ce4Sn25Pd12.

Values from the calculation:
As for the density of states at the Fermi level: 0.939 states/eV/atom. The calculation puts the energy of formation at -0.508 eV per atom.

Cell lengths 12.2208, 12.2208, 12.2208 Å; angles 90.00, 90.00, 90.00 degrees
Space group Im-3 (No. 204)
Asymmetric unit:
Ce (0.2500, 0.2500, 0.2500) x8
Sn (0.0000, 0.0000, 0.0000) x2
Sn (0.0000, 0.1262, 0.2469) x24
Sn (0.0000, 0.3784, 0.3702) x24
Pd (0.0000, 0.3223, 0.1627) x24

No. 19
VASP calculation (GGA-PBEsol) on a relaxed structure of Cs2SmAuCl6.

Values from the calculation:
Its energy relative to the elements, uncorrected is -1684 meV per atom. As for the density of states at the Fermi level: 0.000 states/eV/atom.

Cell lengths 10.6811, 10.6811, 10.6811 Å; angles 90.00, 90.00, 90.00 degrees
Space group Fm-3m (No. 225)
Asymmetric unit:
Cs (0.2500, 0.2500, 0.2500) x8
Sm (0.0000, 0.0000, 0.0000) x4
Au (0.0000, 0.0000, 0.5000) x4
Cl (0.0000, 0.0000, 0.2491) x24

No. 20
VASP calculation (GGA-PBEsol) on a relaxed structure of Ta2Ti2Cu3O12.

Values from the calculation:
Its energy relative to the elements, uncorrected is -2146 meV per atom. As for the density of states at the Fermi level: 0.160 states/eV/atom.

Cell lengths 10.4353, 7.4289, 7.4178 Å; angles 90.00, 134.67, 90.00 degrees
Space group C2/m (No. 12)
Asymmetric unit:
Ta (0.2500, 0.2500, 0.0000) x4
Ti (0.2500, 0.2500, 0.5000) x4
Cu (0.0000, 0.0000, 0.0000) x2
Cu (0.0000, 0.0000, 0.5000) x2
Cu (0.0000, 0.5000, 0.5000) x2
O (0.0008, 0.1883, 0.1815) x8
O (0.1779, 0.5000, 0.8670) x4
O (0.1833, 0.5000, 0.4956) x4
O (0.1885, 0.1808, 0.6881) x8

No. 21
VASP calculation (GGA-PBEsol) on a relaxed structure of Ca5Zn.

Values from the calculation:
As for the density of states at the Fermi level: 1.198 states/eV/atom. The calculation puts the energy of formation at -0.068 eV per atom.

Cell lengths 3.7485, 3.7485, 14.7459 Å; angles 90.00, 90.00, 90.00 degrees
Space group P4/mmm (No. 123)
Asymmetric unit:
Ca (0.0000, 0.0000, 0.0000) x1
Ca (0.0000, 0.0000, 0.3837) x2
Ca (0.5000, 0.5000, 0.1910) x2
Zn (0.5000, 0.5000, 0.5000) x1

No. 22
VASP calculation (GGA-PBEsol) on a relaxed structure of TaTc.

Values from the calculation:
As for the density of states at the Fermi level: 0.935 states/eV/atom. The calculation puts the energy of formation at 0.196 eV per atom.

Cell lengths 2.6260, 10.4876, 4.6631 Å; angles 90.00, 90.00, 90.00 degrees
Space group Cmcm (No. 63)
Asymmetric unit:
Ta (0.0000, 0.0773, 0.2500) x4
Tc (0.0000, 0.3279, 0.2500) x4